# Ce3Si2AsPt9 (PBE-GGA, relaxed)
data_Ce3Si2AsPt9
_chemical_formula_sum 'Ce3 Si2 As1 Pt9'
_space_group_name_H-M_alt 'P -3 m 1'
_space_group_IT_number 164
_space_group_name_Hall '-P 3 2"'
_cell_length_a 6.6072
_cell_length_b 6.6072
_cell_length_c 8.3306
_cell_angle_alpha 90.00
_cell_angle_beta 90.00
_cell_angle_gamma 120.00
loop_
_atom_site_label
_atom_site_fract_x
_atom_site_fract_y
_atom_site_fract_z
Ce1 0.0000 0.0000 0.0000
Ce2 0.3333 0.6667 0.6968
Si1 0.3333 0.6667 0.1893
As1 0.0000 0.0000 0.5000
Pt1 0.0000 0.5000 0.0000
Pt2 0.1445 0.2889 0.2791
# total magnetic moment: 2.6 μB/f.u.
# DFT total energy: -6.537 eV/atom

---

# CsZnGePSe (PBE-GGA, relaxed)
data_CsZnGePSe
_chemical_formula_sum 'Cs2 Zn2 Ge2 P2 Se2'
_space_group_name_H-M_alt 'C 1 m 1'
_space_group_IT_number 8
_cell_length_a 13.379
_cell_length_b 3.878
_cell_length_c 6.803
_cell_angle_alpha 90.00
_cell_angle_beta 97.24
_cell_angle_gamma 90.00
loop_
_space_group_symop_operation_xyz
'x,y,z'
'x,-y,z'
'x+1/2,y+1/2,z'
'x+1/2,-y+1/2,z'
loop_
_atom_site_label
_atom_site_fract_x
_atom_site_fract_y
_atom_site_fract_z
Cs1 0.000 0.000 0.000
Zn1 0.229 0.500 0.615
Ge1 0.300 0.000 0.224
P1 0.191 0.500 0.278
Se1 0.256 0.000 0.827
# energy relative to the lowest polymorph listed for this composition: 62 meV/atom
# total magnetic moment: 0.0 μB/f.u.
# DFT total energy: -3.537 eV/atom

---

# SrScIn (PBE-GGA, relaxed)
data_SrScIn
_chemical_formula_sum 'Sr4 Sc4 In4'
_space_group_name_H-M_alt 'C 1 2/m 1'
_space_group_IT_number 12
_cell_length_a 10.572
_cell_length_b 4.689
_cell_length_c 7.622
_cell_angle_alpha 90.00
_cell_angle_beta 108.48
_cell_angle_gamma 90.00
loop_
_space_group_symop_operation_xyz
'x,y,z'
'-x,-y,-z'
'-x,y,-z'
'x,-y,z'
'x+1/2,y+1/2,z'
'-x+1/2,-y+1/2,-z'
'-x+1/2,y+1/2,-z'
'x+1/2,-y+1/2,z'
loop_
_atom_site_label
_atom_site_fract_x
_atom_site_fract_y
_atom_site_fract_z
Sr1 0.165 0.000 0.103
Sc1 0.151 0.000 0.559
In1 0.014 0.500 0.303
# energy relative to the lowest polymorph listed for this composition: 177 meV/atom
# energy of formation: -0.41 eV per formula unit
# total magnetic moment: 0.0 μB/f.u.
# DFT total energy: -3.722 eV/atom

---

# PmMgBeAu (PBE-GGA, relaxed)
data_PmMgBeAu
_chemical_formula_sum 'Pm4 Mg4 Be4 Au4'
_space_group_name_H-M_alt 'F -4 3 m'
_space_group_IT_number 216
_space_group_name_Hall 'F -4 2 3'
_cell_length_a 6.877
_cell_length_b 6.877
_cell_length_c 6.877
_cell_angle_alpha 90.00
_cell_angle_beta 90.00
_cell_angle_gamma 90.00
loop_
_atom_site_label
_atom_site_fract_x
_atom_site_fract_y
_atom_site_fract_z
Pm1 0.000 0.000 0.000
Mg1 0.000 0.000 0.500
Be1 0.250 0.250 0.250
Au1 0.250 0.250 0.750
# energy of formation: -1.08 eV per formula unit
# total magnetic moment: 0.0 μB/f.u.
# DFT total energy: -3.607 eV/atom

---

# Mg2Zn2Au5 (PBE-GGA, relaxed)
data_Mg2Zn2Au5
_chemical_formula_sum 'Mg8 Zn8 Au20'
_space_group_name_H-M_alt 'C m c e'
_space_group_IT_number 64
_space_group_name_Hall '-C 2ac 2'
_cell_length_a 13.924
_cell_length_b 6.925
_cell_length_c 6.842
_cell_angle_alpha 90.00
_cell_angle_beta 90.00
_cell_angle_gamma 90.00
loop_
_atom_site_label
_atom_site_fract_x
_atom_site_fract_y
_atom_site_fract_z
Mg1 0.212 0.000 0.000
Zn1 0.000 0.135 0.369
Au1 0.000 0.000 0.000
Au2 0.133 0.166 0.672
# energy relative to the lowest polymorph listed for this composition: 0 meV/atom
# energy of formation: -2.39 eV per formula unit
# total magnetic moment: 0.0 μB/f.u.
# DFT total energy: -2.724 eV/atom

---

# MnSbBr6 (PBE-GGA, relaxed)
data_MnSbBr6
_chemical_formula_sum 'Mn3 Sb3 Br18'
_space_group_name_H-M_alt 'R -3'
_space_group_IT_number 148
_space_group_name_Hall '-R 3'
_cell_length_a 6.8003
_cell_length_b 6.8003
_cell_length_c 18.3583
_cell_angle_alpha 90.00
_cell_angle_beta 90.00
_cell_angle_gamma 120.00
loop_
_atom_site_label
_atom_site_fract_x
_atom_site_fract_y
_atom_site_fract_z
Mn1 0.0000 0.0000 0.0000
Sb1 0.0000 0.0000 0.5000
Br1 0.0046 0.6903 0.0796
# energy relative to the lowest polymorph listed for this composition: 36 meV/atom
# total magnetic moment: 4.0 μB/f.u.
# DFT total energy: -3.455 eV/atom

---

# K2CO4 (PBE-GGA, relaxed)
data_K2CO4
_chemical_formula_sum 'K8 C4 O16'
_space_group_name_H-M_alt 'C m c m'
_space_group_IT_number 63
_space_group_name_Hall '-C 2c 2'
_cell_length_a 8.412
_cell_length_b 11.194
_cell_length_c 5.606
_cell_angle_alpha 90.00
_cell_angle_beta 90.00
_cell_angle_gamma 90.00
loop_
_atom_site_label
_atom_site_fract_x
_atom_site_fract_y
_atom_site_fract_z
K1 0.220 0.133 0.250
C1 0.000 0.177 0.750
O1 0.000 0.256 0.560
O2 0.128 0.100 0.750
# energy relative to the lowest polymorph listed for this composition: 62 meV/atom
# total magnetic moment: 2.0 μB/f.u.
# DFT total energy: -5.660 eV/atom

---

# Hf3ZrSb4 (PBE-GGA, relaxed)
data_Hf3ZrSb4
_chemical_formula_sum 'Hf6 Zr2 Sb8'
_space_group_name_H-M_alt 'P m m n'
_space_group_IT_number 59
_cell_length_a 5.730
_cell_length_b 9.226
_cell_length_c 8.485
_cell_angle_alpha 90.00
_cell_angle_beta 90.00
_cell_angle_gamma 90.00
loop_
_space_group_symop_operation_xyz
'x,y,z'
'-x,-y,-z'
'-x+1/2,-y+1/2,z'
'x+1/2,y+1/2,-z'
'x+1/2,-y,-z'
'-x+1/2,y,z'
'-x,y+1/2,-z'
'x,-y+1/2,z'
loop_
_atom_site_label
_atom_site_fract_x
_atom_site_fract_y
_atom_site_fract_z
Hf1 0.250 0.052 0.153
Hf2 0.250 0.750 0.594
Zr1 0.250 0.250 0.761
Sb1 0.250 0.250 0.422
Sb2 0.250 0.554 0.842
Sb3 0.250 0.750 0.246
# total magnetic moment: 0.0 μB/f.u.
# DFT total energy: -7.024 eV/atom